[1]
A plane-wave DFT calculation with PBE-GGA was carried out for crystalline PmTm5In4 at its relaxed geometry.

Summary:
formation energy from the elements = -34 kJ/mol of atoms
DFT total energy = -4.158 eV per atom

Cell and atoms, written as extended XYZ:
```
10
Lattice="-2.869 1.002 -1.783 -1.894 -0.144 2.968 4.746 20.786 4.039" Properties=species:S:1:pos:R:3 pbc="T T T"
Pm 0.000 0.000 0.000
Tm -1.822 2.879 1.069
Tm -0.919 6.833 1.837
Tm -0.008 10.822 2.612
Tm 0.902 14.810 3.387
Tm 1.805 18.764 4.156
In 1.009 4.418 0.859
In 1.918 8.400 1.632
In 2.828 12.386 2.407
In 3.738 16.368 3.181
```


[2]
A plane-wave DFT calculation with PBE-GGA was carried out for crystalline Al2OsW at its relaxed geometry.

Summary:
formation energy from the elements = -2 kJ/mol of atoms
DFT total energy = -7.938 eV per atom

Cell and atoms, written as extended XYZ:
```
4
Lattice="-1.431 2.570 0.131 -2.825 -1.394 -3.513 -2.744 -1.674 2.872" Properties=species:S:1:pos:R:3 pbc="T T T"
Os -2.088 0.448 1.501
Al 0.000 0.000 0.000
Al -2.128 0.588 -1.691
W -2.785 -1.534 -0.320
```


[3]
A plane-wave DFT calculation with PBE-GGA was carried out for crystalline Rb4BiF at its relaxed geometry.

Summary:
DFT total energy = -2.693 eV per atom
formation energy without anion corrections = -1.09 eV/atom

Cell and atoms, written as extended XYZ:
```
12
Lattice="5.898 0.000 -1.826 0.000 8.045 0.000 0.003 0.000 10.448" Properties=species:S:1:pos:R:3 pbc="T T T"
Rb 1.114 4.023 3.600
Rb 4.787 4.022 5.022
Rb 1.114 8.044 3.600
Rb 4.787 0.001 5.022
Rb 3.397 6.034 0.533
Rb 2.504 2.011 8.089
Rb 0.000 4.022 0.000
Rb 0.000 0.000 0.000
Bi 2.209 6.034 7.135
Bi 3.692 2.011 1.487
F 0.557 6.034 1.798
F 5.344 2.011 6.824
```


[4]
A plane-wave DFT calculation with PBE-GGA was carried out for crystalline AlAg2Ir at its relaxed geometry.

Summary:
formation energy from the elements = -3 kJ/mol of atoms
DFT total energy = -4.611 eV per atom

Cell and atoms, written as extended XYZ:
```
4
Lattice="2.821 -0.008 0.000 -1.183 2.561 0.000 0.000 0.000 9.039" Properties=species:S:1:pos:R:3 pbc="T T T"
Ir 0.819 1.276 6.551
Al 0.000 0.000 4.645
Ag 0.000 0.000 8.992
Ag 0.819 1.276 2.409
```


[5]
A plane-wave DFT calculation with PBE-GGA was carried out for crystalline SrCdP4O12 at its relaxed geometry.

Summary:
DFT total energy = -6.901 eV per atom
formation energy without anion corrections = -2.25 eV/atom

Cell and atoms, written as extended XYZ:
```
72
Lattice="-5.861 -3.560 2.214 3.428 -7.832 -3.518 6.978 -2.792 13.015" Properties=species:S:1:pos:R:3 pbc="T T T"
Sr 5.083 -9.002 10.249
Sr -0.960 -6.117 10.084
Sr -0.538 -5.182 1.462
Sr 5.505 -8.067 1.628
Cd -3.973 -5.844 3.383
Cd 2.009 -8.519 3.020
Cd 8.519 -8.340 8.329
Cd 2.536 -5.665 8.691
P 2.482 -9.496 -0.375
P 3.117 -5.195 2.817
P 2.063 -4.688 12.087
P 1.428 -8.988 8.894
P 1.311 -6.882 -1.416
P 2.617 -3.993 5.573
P 3.234 -7.302 13.127
P 1.928 -10.191 6.139
P -2.354 -8.414 0.358
P -0.125 -4.774 6.573
P 6.899 -5.770 11.354
P 4.670 -9.410 5.138
P -0.131 -10.275 0.871
P -0.711 -6.649 4.381
P 4.676 -3.909 10.840
P 5.257 -7.535 7.331
O 3.024 -8.927 0.909
O 2.005 -4.460 2.119
O 1.522 -5.257 10.802
O 2.540 -9.724 9.593
O -0.111 -2.625 2.344
O 3.341 -6.654 2.529
O 4.656 -11.559 9.367
O 1.204 -7.530 9.182
O 2.022 -8.333 -1.389
O 3.006 -5.054 4.417
O 2.523 -5.851 13.100
O 1.539 -9.130 7.294
O 0.298 -6.735 -0.326
O 2.951 -2.590 5.179
O 4.247 -7.449 12.037
O 1.594 -11.594 6.533
O 7.779 -9.506 10.188
O 3.280 -4.509 6.827
O -3.234 -4.677 1.523
O 1.265 -9.674 4.884
O 2.526 -5.887 -1.092
O 1.020 -4.114 5.640
O 2.019 -8.297 12.803
O 3.525 -10.070 6.071
O -1.133 -9.411 -0.037
O -0.272 -6.229 5.866
O 5.678 -4.772 11.748
O 4.817 -7.955 5.846
O 4.042 -10.775 12.044
O 0.401 -5.078 7.960
O 0.503 -3.409 -0.332
O 4.144 -9.106 3.752
O -1.964 -7.366 1.336
O -1.342 -3.932 6.444
O 6.509 -6.818 10.376
O 5.887 -10.252 5.268
O -0.658 -11.676 1.059
O 0.497 -6.807 3.493
O 5.203 -2.508 10.653
O 4.048 -7.376 8.218
O 1.126 -10.320 -0.107
O -1.319 -8.089 4.692
O 3.419 -3.864 11.818
O 5.864 -6.095 7.019
O 0.162 -9.580 2.178
O -1.730 -5.689 3.818
O 4.383 -4.604 9.534
O 6.275 -8.495 7.893
```


[6]
A plane-wave DFT calculation with PBE-GGA was carried out for crystalline FeSbAu at its relaxed geometry.

Summary:
DFT total energy = -5.005 eV per atom
formation energy without anion corrections = 0.28 eV/atom

Cell and atoms, written as extended XYZ:
```
3
Lattice="6.824 0.034 -0.035 6.152 2.956 0.000 0.673 0.121 2.919" Properties=species:S:1:pos:R:3 pbc="T T T"
Au 1.037 0.206 2.832
Fe 8.806 2.017 0.967
Sb 4.478 1.008 2.006
```


[7]
A plane-wave DFT calculation with PBE-GGA was carried out for crystalline TlAgSe2 at its relaxed geometry.

Summary:
DFT total energy = -3.185 eV per atom
formation energy without anion corrections = -0.14 eV/atom

Cell and atoms, written as extended XYZ:
```
8
Lattice="-0.885 -5.606 3.050 6.116 0.661 -1.335 3.149 3.637 3.784" Properties=species:S:1:pos:R:3 pbc="T T T"
Tl 2.813 -1.595 2.847
Tl 3.485 1.873 2.724
Ag 8.211 0.100 4.736
Ag 6.701 2.370 3.464
Se 5.916 -0.517 0.726
Se 6.226 1.906 0.697
Se 5.779 -0.354 4.014
Se 1.535 -4.353 2.431
```


[8]
A plane-wave DFT calculation with PBE-GGA was carried out for crystalline Ca4TlCd2Ga at its relaxed geometry.

Summary:
formation energy from the elements = -39 kJ/mol of atoms
DFT total energy = -2.310 eV per atom

Cell and atoms, written as extended XYZ:
```
8
Lattice="-4.148 -2.200 2.640 -0.662 -5.346 0.000 3.327 -3.125 8.120" Properties=species:S:1:pos:R:3 pbc="T T T"
Ca 1.063 -5.559 8.030
Ca -2.924 -7.779 5.411
Ca 1.440 -2.892 5.349
Ca -2.547 -5.112 2.730
Tl 0.000 0.000 0.000
Cd -1.098 -8.005 8.092
Cd -0.386 -2.666 2.668
Ga -0.742 -5.335 5.380
```


Question: Which value of DFT total energy does entry 4 give?
Answer: -4.611 eV per atom


Question: Which of these has the lowest DFT total energy?
Answer: Al2OsW


Copy entry 1 word for word.
A plane-wave DFT calculation with PBE-GGA was carried out for crystalline PmTm5In4 at its relaxed geometry.

Summary:
formation energy from the elements = -34 kJ/mol of atoms
DFT total energy = -4.158 eV per atom

Cell and atoms, written as extended XYZ:
```
10
Lattice="-2.869 1.002 -1.783 -1.894 -0.144 2.968 4.746 20.786 4.039" Properties=species:S:1:pos:R:3 pbc="T T T"
Pm 0.000 0.000 0.000
Tm -1.822 2.879 1.069
Tm -0.919 6.833 1.837
Tm -0.008 10.822 2.612
Tm 0.902 14.810 3.387
Tm 1.805 18.764 4.156
In 1.009 4.418 0.859
In 1.918 8.400 1.632
In 2.828 12.386 2.407
In 3.738 16.368 3.181
```


Question: Which of these has the highest DFT total energy?
Answer: Ca4TlCd2Ga